A plane-wave DFT calculation with GGA-PBE was carried out for a geometry-optimized FeReMo structure.

Output
* theoretical density: 12.03 g cm⁻³
* total DFT energy (no corrections): -9.96 eV/atom
* formation enthalpy at 0 K: 0.620 eV per atom
* offset from the most stable computed form: 600 meV per atom

Cell: 5.715 5.715 5.715 Å, 90.00 90.00 90.00°
Space group F-43m (No. 216)
Inequivalent atoms, fractional coordinates:
Fe 0.000 0.000 0.000 [4 per cell]
Re 0.250 0.250 0.250 [4 per cell]
Mo 0.250 0.250 0.750 [4 per cell]

***

A plane-wave DFT calculation with GGA-PBE was carried out for a geometry-optimized PmPa2B structure.

Output
* theoretical density: 10.58 g cm⁻³
* total DFT energy (no corrections): -7.43 eV/atom
* formation enthalpy at 0 K: 0.171 eV per atom

Cell: 3.4402 3.4402 28.3906 Å, 90.00 90.00 120.00°
Space group R-3m (No. 166, hexagonal axes)
Inequivalent atoms, fractional coordinates:
Pm 0.0000 0.0000 0.0000 [3 per cell]
Pa 0.0000 0.0000 0.1141 [6 per cell]
B 0.0000 0.0000 0.5000 [3 per cell]

***

A plane-wave DFT calculation with GGA-PBE was carried out for a geometry-optimized EuEr2Zr structure.

Output
* theoretical density: 8.19 g cm⁻³
* total DFT energy (no corrections): -6.79 eV/atom
* formation enthalpy at 0 K: 0.197 eV per atom
* offset from the most stable computed form: 106 meV per atom

Cell: 4.932 4.932 4.814 Å, 90.00 90.00 90.00°
Space group P4/mmm (No. 123)
Inequivalent atoms, fractional coordinates:
Eu 0.000 0.000 0.000 [1 per cell]
Er 0.000 0.500 0.500 [2 per cell]
Zr 0.500 0.500 0.000 [1 per cell]

***

A plane-wave DFT calculation with GGA-PBE was carried out for a geometry-optimized Pr7SmY12 structure.

Output
* theoretical density: 4.95 g cm⁻³
* total DFT energy (no corrections): -5.18 eV/atom
* formation enthalpy at 0 K: 0.612 eV per atom
* offset from the most stable computed form: 385 meV per atom

Cell: 11.392 11.392 11.392 Å, 90.00 90.00 90.00°
Space group Im-3m (No. 229)
Inequivalent atoms, fractional coordinates:
Pr 0.000 0.000 0.500 [6 per cell]
Pr 0.250 0.250 0.250 [8 per cell]
Sm 0.000 0.000 0.000 [2 per cell]
Y 0.000 0.249 0.249 [24 per cell]

***

A plane-wave DFT calculation with GGA-PBE was carried out for a geometry-optimized LaCe4Sm structure.

Output
* theoretical density: 7.73 g cm⁻³
* total DFT energy (no corrections): -5.37 eV/atom
* formation enthalpy at 0 K: 0.193 eV per atom

Cell: 9.006 9.006 9.006 Å, 90.00 90.00 90.00°
Space group F-43m (No. 216)
Inequivalent atoms, fractional coordinates:
La 0.000 0.000 0.000 [4 per cell]
Ce 0.122 0.122 0.622 [16 per cell]
Sm 0.250 0.250 0.250 [4 per cell]

***

A plane-wave DFT calculation with GGA-PBE was carried out for a geometry-optimized SiAg5 structure.

Output
* theoretical density: 9.01 g cm⁻³
* formation energy from raw total energies: 0.14 eV/atom
* total DFT energy (no corrections): -3.14 eV/atom
* offset from the most stable computed form: 8 meV per atom

Cell: 4.232 11.613 4.257 Å, 90.00 90.00 90.00°
Space group Cmmm (No. 65)
Inequivalent atoms, fractional coordinates:
Si 0.000 0.000 0.000 [2 per cell]
Ag 0.000 0.163 0.500 [4 per cell]
Ag 0.000 0.338 0.000 [4 per cell]
Ag 0.000 0.500 0.500 [2 per cell]

***

A plane-wave DFT calculation with GGA-PBE was carried out for a geometry-optimized SrLaB12 structure.

Output
* theoretical density: 4.07 g cm⁻³
* total DFT energy (no corrections): -6.71 eV/atom
* formation enthalpy at 0 K: -0.511 eV per atom
* offset from the most stable computed form: 0 meV per atom

Cell: 4.173 4.173 8.351 Å, 90.00 90.00 90.00°
Space group P4/mmm (No. 123)
Inequivalent atoms, fractional coordinates:
Sr 0.000 0.000 0.000 [1 per cell]
La 0.000 0.000 0.500 [1 per cell]
B 0.201 0.500 0.251 [8 per cell]
B 0.500 0.500 0.101 [2 per cell]
B 0.500 0.500 0.400 [2 per cell]

***

A plane-wave DFT calculation with GGA-PBE was carried out for a geometry-optimized EuAgAu2 structure.

Output
* theoretical density: 12.18 g cm⁻³
* total DFT energy (no corrections): -5.39 eV/atom
* formation enthalpy at 0 K: -0.472 eV per atom
* offset from the most stable computed form: 0 meV per atom

Cell: 7.091 7.091 7.091 Å, 90.00 90.00 90.00°
Space group Fm-3m (No. 225)
Inequivalent atoms, fractional coordinates:
Eu 0.000 0.000 0.000 [4 per cell]
Ag 0.000 0.000 0.500 [4 per cell]
Au 0.250 0.250 0.250 [8 per cell]

***

A plane-wave DFT calculation with GGA-PBE was carried out for a geometry-optimized CuSi structure.

Output
* theoretical density: 5.23 g cm⁻³
* formation energy from raw total energies: 0.21 eV/atom
* total DFT energy (no corrections): -4.55 eV/atom

Cell: 4.0678 4.0678 12.1919 Å, 90.00 90.00 120.00°
Space group R-3m (No. 166, hexagonal axes)
Inequivalent atoms, fractional coordinates:
Cu 0.0000 0.0000 0.1074 [6 per cell]
Si 0.0000 0.0000 0.3000 [6 per cell]

***

A plane-wave DFT calculation with GGA-PBE was carried out for a geometry-optimized V5S6 structure.

Output
* theoretical density: 4.20 g cm⁻³
* formation energy from raw total energies: -0.72 eV/atom
* total DFT energy (no corrections): -7.12 eV/atom

Cell: 6.097 10.308 5.991 Å, 90.00 109.94 90.00°
Space group C2/m (No. 12)
Inequivalent atoms, fractional coordinates:
V 0.000 0.000 0.000 [2 per cell]
V 0.000 0.151 0.500 [4 per cell]
V 0.000 0.313 0.000 [4 per cell]
S 0.241 0.335 0.742 [8 per cell]
S 0.242 0.500 0.230 [4 per cell]

***

A plane-wave DFT calculation with GGA-PBE was carried out for a geometry-optimized CaZr2In structure.

Output
* theoretical density: 5.48 g cm⁻³
* total DFT energy (no corrections): -5.48 eV/atom
* formation enthalpy at 0 K: -0.025 eV per atom

Cell: 12.569 3.394 5.264 Å, 90.00 114.43 90.00°
Space group C2/m (No. 12)
Inequivalent atoms, fractional coordinates:
Ca 0.000 0.000 0.000 [2 per cell]
Zr 0.224 0.000 0.724 [4 per cell]
In 0.000 0.500 0.500 [2 per cell]

***

A plane-wave DFT calculation with GGA-PBE was carried out for a geometry-optimized Li4Ag4Sb structure.

Output
* theoretical density: 6.12 g cm⁻³
* formation energy from raw total energies: -0.26 eV/atom
* total DFT energy (no corrections): -2.84 eV/atom

Cell: 8.538 8.538 4.327 Å, 90.00 90.00 90.00°
Space group I4/mmm (No. 139)
Inequivalent atoms, fractional coordinates:
Li 0.163 0.163 0.000 [8 per cell]
Ag 0.000 0.336 0.500 [8 per cell]
Sb 0.000 0.000 0.500 [2 per cell]